Here is TbTlHg2 after structural relaxation from Alexandria via LeMat-Bulk. Energies are from PBE.

- DOS at the Fermi energy (states/eV/cell) = 2.88
- total DFT energy (no corrections) (eV for the cell shown) = -8.78
- volume (A^3/atom) = 25.4

```
TbTlHg2
1.0
4.367 0.000 0.000
0.000 4.825 0.000
0.000 0.000 4.825
Tl Tb Hg
1 1 2
Cartesian
2.184 0.000 0.000 Tl
2.184 2.413 2.413 Tb
0.000 0.000 2.413 Hg
0.000 2.413 0.000 Hg
```